Record 1
First-principles (SCAN) data for a PBEsol-optimized structure of Li7Ti7O16, as listed in Alexandria via LeMat-Bulk.

Properties
The theoretical density comes out at 3.7 Mg/m³. The uncorrected formation energy is -2.960 eV per atom. The volume is 286.4 Å³ per cell.

Cell: 5.8549 5.8549 10.2234 Å, 73.36 73.36 60.00°
Last column: nearest neighbours and their distance in Å.
Sites, in units of the cell vectors:
O (0.3801, 0.3801, 0.8597)  1 Li 1.84, 3 Ti 1.96
O (0.3838, 0.3838, 0.3713)  2 Li 1.91-2.07, 2 Ti 1.97
Ti (0.9991, 0.9991, 0.0026)  6 O 1.96-2.03
Li (0.4981, 0.4981, 0.5056)  6 O 2.04-2.07
Ti (0.2539, 0.2539, 0.7495)  6 O 1.95-2.04
Ti (0.2539, 0.7427, 0.7495)  6 O 1.95-2.04
O (0.8757, 0.8757, 0.3730)  3 Ti 2.05, 3 Li 2.10
Li (0.6885, 0.6885, 0.9346)  4 O 1.96-2.05
O (0.6106, 0.6106, 0.6380)  2 Ti 1.95, 3 Li 2.04-2.08
Li (0.3165, 0.3165, 0.0505)  4 O 1.84-2.01
Ti (0.7427, 0.2539, 0.7495)  6 O 1.95-2.04
Ti (0.2541, 0.7439, 0.2580)  6 O 1.97-2.05
O (0.1210, 0.1210, 0.6371)  3 Ti 2.04, 3 Li 2.14
O (0.3838, 0.8612, 0.3713)  2 Li 1.91-2.07, 2 Ti 1.97
Li (0.9857, 0.5134, 0.5151)  6 O 2.08-2.25
O (0.8929, 0.3401, 0.8742)  3 Ti 1.96-2.03, 1 Li 1.96
Ti (0.7439, 0.2541, 0.2580)  6 O 1.97-2.05
Li (0.5134, 0.9857, 0.5151)  6 O 2.08-2.25
O (0.6469, 0.1076, 0.1380)  1 Li 2.01, 3 Ti 2.01-2.03
O (0.3401, 0.8929, 0.8742)  3 Ti 1.96-2.03, 1 Li 1.96
O (0.8929, 0.8929, 0.8742)  3 Ti 1.96-2.03, 1 Li 1.96
O (0.1076, 0.6469, 0.1380)  1 Li 2.01, 3 Ti 2.01-2.03
O (0.6106, 0.1408, 0.6380)  2 Ti 1.95, 3 Li 2.04-2.08
Li (0.9857, 0.9857, 0.5151)  6 O 2.08-2.25
O (0.6176, 0.6176, 0.1471)  3 Ti 1.97, 1 Li 2.05
O (0.1408, 0.6106, 0.6380)  2 Ti 1.95, 3 Li 2.04-2.08
Ti (0.7439, 0.7439, 0.2580)  6 O 1.97-2.05
O (0.8612, 0.3838, 0.3713)  2 Li 1.91-2.07, 2 Ti 1.97
Li (0.2350, 0.2350, 0.2949)  3 O 1.91
O (0.1076, 0.1076, 0.1380)  1 Li 2.01, 3 Ti 2.01-2.03

Record 2
First-principles (SCAN) data for a PBEsol-optimized structure of LiTi4O8, as listed in Alexandria via LeMat-Bulk.

Properties
The theoretical density comes out at 4.0 Mg/m³. The uncorrected formation energy is -3.195 eV per atom. The volume is 404.7 Å³ per cell.

Cell: 5.7367 7.1603 10.0761 Å, 78.60 88.54 85.97°
Last column: nearest neighbours and their distance in Å.
Sites, in units of the cell vectors:
Li (0.9947, 0.4299, 0.9306)  4 O 1.83-2.04
O (0.9756, 0.1398, 0.1502)  3 Ti 1.94-1.99
O (0.9719, 0.4599, 0.2700)  1 Li 1.95, 3 Ti 1.97-2.02
O (0.7728, 0.8648, 0.5968)  3 Ti 1.89-2.00
O (0.2778, 0.5414, 0.9788)  3 Ti 1.97-2.03, 1 Li 1.97
O (0.2191, 0.1354, 0.4040)  3 Ti 1.94-1.97
O (0.9572, 0.1892, 0.6483)  3 Ti 1.92-1.99
O (0.7837, 0.8116, 0.1011)  3 Ti 1.93-1.99
Ti (0.7346, 0.3112, 0.2072)  6 O 1.94-2.00
O (0.0290, 0.8667, 0.8445)  3 Ti 1.94-1.97
Ti (0.7745, 0.6978, 0.2910)  6 O 1.93-2.03
Ti (0.9714, 0.3063, 0.4595)  6 O 1.92-2.04
Li (0.5078, 0.5694, 0.5726)  4 O 1.82-2.03
O (0.4692, 0.1323, 0.6546)  3 Ti 1.93-1.98
Ti (0.7484, 0.0006, 0.7518)  6 O 1.96-1.99
O (0.7837, 0.5429, 0.4831)  1 Li 1.82, 3 Ti 1.96-2.03
O (0.7152, 0.4582, 0.0178)  1 Li 1.83, 3 Ti 1.97-1.99
O (0.5364, 0.5427, 0.2325)  1 Li 1.83, 3 Ti 1.98-2.00
Ti (0.5153, 0.6875, 0.0433)  6 O 1.94-1.99
Ti (0.0017, 0.9902, 0.0029)  6 O 1.95-2.05
O (0.2028, 0.1995, 0.9005)  3 Ti 1.96-2.05, 1 Li 2.04
O (0.0311, 0.5412, 0.7355)  3 Ti 1.95-2.03, 1 Li 1.98
Ti (0.2547, 0.0115, 0.2463)  6 O 1.94-2.10
Ti (0.4962, 0.0065, 0.4970)  6 O 1.94-2.03
Li (0.2521, 0.5723, 0.3159)  4 O 1.83-2.03
Ti (0.4841, 0.3093, 0.9508)  6 O 1.92-2.03
O (0.4675, 0.1896, 0.1462)  3 Ti 1.94-1.99
O (0.5406, 0.8116, 0.8547)  3 Ti 1.93-1.98
O (0.7284, 0.1380, 0.9023)  3 Ti 1.92-2.01
Ti (0.0114, 0.6905, 0.5520)  6 O 1.89-2.07
O (0.2976, 0.7991, 0.5989)  3 Ti 1.96-2.03, 1 Li 2.03
O (0.0469, 0.8005, 0.3522)  3 Ti 1.94-2.10, 1 Li 2.03
O (0.5252, 0.8602, 0.3494)  3 Ti 1.93-2.02
Ti (0.2790, 0.6965, 0.7937)  6 O 1.93-2.03
O (0.2744, 0.8586, 0.1010)  3 Ti 1.94-1.99
O (0.7089, 0.1905, 0.3971)  3 Ti 1.94-1.97
O (0.2245, 0.4598, 0.5158)  2 Li 2.00-2.02, 3 Ti 2.01-2.07
Ti (0.2239, 0.3042, 0.7048)  6 O 1.93-2.03
O (0.4686, 0.4586, 0.7632)  1 Li 1.94, 3 Ti 1.98-2.03

Record 3
First-principles (SCAN) data for a PBEsol-optimized structure of LiTi2O4, as listed in Alexandria via LeMat-Bulk.

Properties
The theoretical density comes out at 3.8 Mg/m³. The uncorrected formation energy is -3.026 eV per atom. The volume is 144.3 Å³ per cell.

Cell: 5.8597 5.8833 5.8833 Å, 60.53 60.13 60.13°
Last column: nearest neighbours and their distance in Å.
Sites, in units of the cell vectors:
O (0.7622, 0.2213, 0.2543)  3 Ti 1.98-2.02, 2 Li 2.16
O (0.7873, 0.2399, 0.7399)  3 Ti 1.98-2.00, 1 Li 2.17
O (0.2378, 0.2457, 0.2787)  3 Ti 1.98-2.02, 2 Li 2.16
O (0.2378, 0.7787, 0.7457)  3 Ti 1.98-2.02, 2 Li 2.16
Ti (0.0000, 0.5000, 0.5000)  6 O 1.98
O (0.7671, 0.7601, 0.2601)  3 Ti 1.98-2.00, 1 Li 2.17
O (0.2329, 0.2399, 0.7399)  3 Ti 1.98-2.00, 1 Li 2.17
Li (0.0000, 0.5000, 0.0000)  6 O 2.16-2.17
Li (0.5000, 0.5000, 0.0000)  6 O 2.16-2.17
Ti (0.0000, 0.0000, 0.5000)  6 O 2.00-2.02
Ti (0.0000, 0.0000, 0.0000)  6 O 1.98
Ti (0.5000, 0.0000, 0.5000)  6 O 2.00-2.02
O (0.2127, 0.7601, 0.2601)  3 Ti 1.98-2.00, 1 Li 2.17
O (0.7622, 0.7543, 0.7213)  3 Ti 1.98-2.02, 2 Li 2.16

Record 4
First-principles (SCAN) data for a PBEsol-optimized structure of LiTi11O20, as listed in Alexandria via LeMat-Bulk.

Properties
The theoretical density comes out at 4.1 Mg/m³. The uncorrected formation energy is -3.222 eV per atom. The volume is 689.9 Å³ per cell.

Cell: 7.1506 7.6106 13.0833 Å, 90.55 92.76 103.98°
Last column: nearest neighbours and their distance in Å.
Sites, in units of the cell vectors:
O (0.1614, 0.5405, 0.8343)  3 Ti 1.93-2.01
Ti (0.9975, 0.7026, 0.8712)  6 O 1.89-2.10
O (0.5097, 0.5446, 0.3963)  4 Ti 1.96-2.12
O (0.5045, 0.3207, 0.0308)  4 Ti 1.97-2.10
Ti (0.9635, 0.5656, 0.2932)  6 O 1.91-2.11
Ti (0.0150, 0.9270, 0.2011)  6 O 1.89-2.07
O (0.4903, 0.4554, 0.6037)  4 Ti 1.96-2.12
O (0.1704, 0.9557, 0.5492)  3 Ti 1.92-1.98
O (0.4967, 0.1742, 0.4737)  4 Ti 1.98-2.12
O (0.8386, 0.4595, 0.1657)  3 Ti 1.93-2.01
O (0.1627, 0.7365, 0.2016)  4 Ti 1.98-2.11
Ti (0.6442, 0.3717, 0.7124)  5 O 1.86-2.07
Ti (0.0365, 0.4344, 0.7068)  6 O 1.91-2.11
Li (0.3963, 0.9587, 0.7759)  3 O 1.90-1.92
Ti (0.6781, 0.9162, 0.9924)  6 O 1.94-2.04
Ti (0.0025, 0.2974, 0.1288)  6 O 1.89-2.10
O (0.5152, 0.0472, 0.9050)  1 Li 1.90, 3 Ti 1.95-2.04
Ti (0.9850, 0.0730, 0.7989)  6 O 1.89-2.07
O (0.1820, 0.6763, 0.4038)  4 Ti 2.00-2.09
Ti (0.6980, 0.7936, 0.4145)  5 O 1.88-2.05
Ti (0.3214, 0.9402, 0.4282)  5 O 1.89-2.03
O (0.8276, 0.8213, 0.0970)  3 Ti 1.89-2.02
O (0.1525, 0.2347, 0.6962)  3 Ti 1.88-2.06
O (0.1724, 0.1787, 0.9030)  3 Ti 1.89-2.02
O (0.1650, 0.0364, 0.3350)  3 Ti 1.89-2.07
Ti (0.6657, 0.5664, 0.0720)  6 O 1.92-2.10
O (0.1651, 0.6207, 0.6206)  3 Ti 1.91-2.03
Ti (0.9920, 0.7955, 0.6317)  6 O 1.92-2.09
O (0.4981, 0.8784, 0.3294)  1 Li 1.92, 3 Ti 1.98-2.00
Ti (0.6743, 0.4241, 0.4858)  6 O 1.93-2.12
O (0.5078, 0.3946, 0.8277)  3 Ti 1.86-2.05
O (0.8296, 0.0443, 0.4508)  3 Ti 1.92-1.98
O (0.4848, 0.9528, 0.0950)  1 Li 1.90, 3 Ti 1.95-2.04
O (0.4955, 0.6793, 0.9692)  4 Ti 1.97-2.10
O (0.8778, 0.1144, 0.2335)  1 Li 1.90, 3 Ti 1.97-2.04
Ti (0.3102, 0.7132, 0.0801)  6 O 1.95-2.07
O (0.8475, 0.7653, 0.3038)  3 Ti 1.88-2.06
Ti (0.3020, 0.2064, 0.5855)  5 O 1.88-2.05
O (0.8350, 0.9636, 0.6650)  3 Ti 1.89-2.07
O (0.8206, 0.6717, 0.5223)  3 Ti 1.92-1.98
O (0.4922, 0.6054, 0.1723)  3 Ti 1.86-2.05
Ti (0.6786, 0.0598, 0.5718)  5 O 1.89-2.03
Ti (0.3343, 0.4336, 0.9280)  6 O 1.92-2.10
O (0.5019, 0.1216, 0.6706)  1 Li 1.92, 3 Ti 1.98-2.00
O (0.1222, 0.8856, 0.7665)  1 Li 1.90, 3 Ti 1.97-2.04
O (0.8180, 0.3237, 0.5962)  4 Ti 2.00-2.09
Ti (0.6898, 0.2868, 0.9199)  6 O 1.95-2.07
O (0.8273, 0.1748, 0.0240)  3 Ti 1.89-2.03
O (0.8373, 0.2635, 0.7984)  4 Ti 1.98-2.11
Li (0.6037, 0.0413, 0.2241)  3 O 1.90-1.92
O (0.8357, 0.8854, 0.8802)  3 Ti 1.93-2.02
Ti (0.3257, 0.5759, 0.5142)  6 O 1.93-2.12
O (0.8349, 0.3793, 0.3794)  3 Ti 1.91-2.03
Ti (0.3558, 0.6283, 0.2876)  5 O 1.86-2.07
O (0.1727, 0.8252, 0.9760)  3 Ti 1.89-2.03
O (0.1741, 0.4616, 0.0466)  3 Ti 1.91-2.01
O (0.1643, 0.1146, 0.1198)  3 Ti 1.93-2.02
Ti (0.0080, 0.2045, 0.3683)  6 O 1.92-2.09
O (0.1794, 0.3283, 0.4777)  3 Ti 1.92-1.98
O (0.1444, 0.4011, 0.2683)  4 Ti 2.01-2.10
Ti (0.3219, 0.0838, 0.0076)  6 O 1.94-2.04
O (0.8259, 0.5384, 0.9534)  3 Ti 1.91-2.01
O (0.5033, 0.8258, 0.5263)  4 Ti 1.98-2.12
O (0.8556, 0.5989, 0.7317)  4 Ti 2.01-2.10

Record 5
First-principles (SCAN) data for a PBEsol-optimized structure of Li3Ti4O8, as listed in Alexandria via LeMat-Bulk.

Properties
The theoretical density comes out at 3.9 Mg/m³. The uncorrected formation energy is -2.937 eV per atom. The volume is 143.1 Å³ per cell.

Cell: 5.8494 5.8494 5.8931 Å, 60.25 60.25 60.00°
Last column: nearest neighbours and their distance in Å.
Sites, in units of the cell vectors:
O (0.2453, 0.2453, 0.2640)  3 Ti 2.04, 3 Li 2.12
Li (0.5000, 0.5000, 0.0000)  6 O 2.12-2.14
Ti (0.0000, 0.0000, 0.5000)  6 O 2.02-2.04
Ti (0.5000, 0.0000, 0.5000)  6 O 2.02-2.04
O (0.7759, 0.2383, 0.7474)  3 Ti 1.98-2.02, 2 Li 2.14
O (0.7547, 0.7547, 0.7360)  3 Ti 2.04, 3 Li 2.12
Li (0.0000, 0.5000, 0.0000)  6 O 2.12-2.14
Ti (0.0000, 0.5000, 0.5000)  6 O 2.02-2.04
O (0.7617, 0.2241, 0.2526)  3 Ti 1.98-2.02, 2 Li 2.14
O (0.7617, 0.7617, 0.2526)  3 Ti 1.98-2.02, 2 Li 2.14
Li (0.5000, 0.0000, 0.0000)  6 O 2.12-2.14
O (0.2383, 0.2383, 0.7474)  3 Ti 1.98-2.02, 2 Li 2.14
Ti (0.0000, 0.0000, 0.0000)  6 O 1.98
O (0.2383, 0.7759, 0.7474)  3 Ti 1.98-2.02, 2 Li 2.14
O (0.2241, 0.7617, 0.2526)  3 Ti 1.98-2.02, 2 Li 2.14

Record 6
First-principles (SCAN) data for a PBEsol-optimized structure of Li3Ti4O8, as listed in Alexandria via LeMat-Bulk.

Properties
The theoretical density comes out at 4.2 Mg/m³. The uncorrected formation energy is -2.938 eV per atom. The volume is 270.5 Å³ per cell.

Cell: 5.0176 5.6520 9.5380 Å, 90.00 90.00 90.32°
Last column: nearest neighbours and their distance in Å.
Sites, in units of the cell vectors:
Li (0.9163, 0.6258, 0.3888)  5 O 1.94-2.08
O (0.0704, 0.8583, 0.2555)  3 Ti 1.98-2.05, 1 Li 1.98
O (0.5530, 0.1264, 0.2591)  2 Li 2.00-2.06, 3 Ti 2.00-2.11
O (0.7525, 0.3792, 0.5023)  3 Li 1.94-2.02, 3 Ti 2.01-2.05
O (0.0723, 0.3746, 0.2527)  3 Ti 1.96-2.11, 1 Li 2.08
Ti (0.9094, 0.6339, 0.1199)  6 O 1.96-2.11
O (0.2475, 0.6208, 0.0023)  3 Li 1.94-2.02, 3 Ti 2.01-2.05
O (0.9296, 0.1417, 0.7555)  3 Ti 1.98-2.05, 1 Li 1.98
Li (0.0837, 0.3742, 0.8888)  5 O 1.94-2.08
Ti (0.3846, 0.8781, 0.3808)  6 O 1.92-2.14
O (0.2631, 0.6189, 0.5062)  2 Li 1.94-2.07, 3 Ti 1.98-2.09
Ti (0.6154, 0.1219, 0.8808)  6 O 1.92-2.14
Ti (0.6083, 0.6318, 0.6286)  6 O 1.99-2.09
O (0.4354, 0.3749, 0.7438)  3 Ti 2.01-2.14, 3 Li 2.03-2.24
Li (0.5699, 0.6189, 0.8896)  5 O 1.94-2.07
O (0.5646, 0.6251, 0.2438)  3 Ti 2.01-2.14, 3 Li 2.03-2.24
O (0.9277, 0.6254, 0.7527)  3 Ti 1.96-2.11, 1 Li 2.08
Ti (0.3917, 0.3682, 0.1286)  6 O 1.99-2.09
Li (0.5748, 0.1193, 0.6146)  5 O 1.97-2.06
O (0.7322, 0.8769, 0.4916)  2 Li 1.96-1.97, 3 Ti 2.00-2.04
O (0.2678, 0.1231, 0.9916)  2 Li 1.96-1.97, 3 Ti 2.00-2.04
O (0.7369, 0.3811, 0.0062)  2 Li 1.94-2.07, 3 Ti 1.98-2.09
Li (0.4252, 0.8807, 0.1146)  5 O 1.97-2.06
Li (0.4301, 0.3811, 0.3896)  5 O 1.94-2.07
Ti (0.0906, 0.3661, 0.6199)  6 O 1.96-2.11
Ti (0.9138, 0.1292, 0.3719)  6 O 1.96-2.11
O (0.7517, 0.8733, 0.9978)  3 Ti 1.92-2.06, 2 Li 1.98-1.99
Ti (0.0862, 0.8708, 0.8719)  6 O 1.96-2.11
O (0.4470, 0.8736, 0.7591)  2 Li 2.00-2.06, 3 Ti 2.00-2.11
O (0.2483, 0.1267, 0.4978)  3 Ti 1.92-2.06, 2 Li 1.98-1.99

Question: Number 1 is which compound?
Answer: Li7Ti7O16

Question: Which value of theoretical density does entry 6 give?
Answer: 4.2 Mg/m³

Question: Number 6 is which compound?
Answer: Li3Ti4O8